[1]
Density functional theory data (PBE-GGA) for crystalline AlFe3Hg at its relaxed geometry.

Output
N(E_F)   1.576 states/eV per atom
Energy above the lowest structure with this stoichiometry   0 meV per atom
Total magnetization   7.04 μB/f.u.
Symmetry   Pm-3m, No. 221
Calculated volume   85.42 Å³/cell
ΔE_f   984 meV/atom

Geometry as POSCAR:
```
AlFe3Hg
1.0
4.404 0.000 0.000
0.000 4.404 0.000
0.000 0.000 4.404
Al Fe Hg
1 3 1
Direct
0.000 0.000 0.000 Al
0.000 0.000 0.500 Fe
0.000 0.500 0.000 Fe
0.500 0.000 0.000 Fe
0.500 0.500 0.500 Hg
```

***

[2]
Density functional theory data (PBE-GGA) for crystalline Cd8SnPd2 at its relaxed geometry.

Output
N(E_F)   0.284 states/eV per atom
Total magnetization   0.00 μB/f.u.
Symmetry   C2/m, No. 12
Calculated volume   238.33 Å³/cell
ΔE_f   -107 meV/atom

Geometry as POSCAR:
```
Cd8SnPd2
1.0
4.373 -5.779 0.000
4.373 5.779 0.000
-0.033 0.000 4.715
Cd Sn Pd
8 1 2
Direct
0.160 0.160 0.998 Cd
0.184 0.461 0.498 Cd
0.240 0.760 0.000 Cd
0.461 0.184 0.498 Cd
0.539 0.816 0.502 Cd
0.760 0.240 0.000 Cd
0.816 0.539 0.502 Cd
0.840 0.840 0.002 Cd
0.500 0.500 0.000 Sn
0.124 0.876 0.500 Pd
0.876 0.124 0.500 Pd
```

***

[3]
Density functional theory data (PBE-GGA) for crystalline Tl3SiOs at its relaxed geometry.

Output
N(E_F)   1.054 states/eV per atom
Energy above the lowest structure with this stoichiometry   0 meV per atom
Total magnetization   1.81 μB/f.u.
Symmetry   Pm-3m, No. 221
Calculated volume   148.89 Å³/cell

Geometry as POSCAR:
```
Tl3SiOs
1.0
5.300 0.000 0.000
0.000 5.300 0.000
0.000 0.000 5.300
Tl Si Os
3 1 1
Direct
0.000 0.000 0.500 Tl
0.000 0.500 0.000 Tl
0.500 0.000 0.000 Tl
0.500 0.500 0.500 Si
0.000 0.000 0.000 Os
```

***

[4]
Density functional theory data (PBE-GGA) for crystalline CaTi3Co at its relaxed geometry.

Output
N(E_F)   1.724 states/eV per atom
Energy above the lowest structure with this stoichiometry   0 meV per atom
Total magnetization   0.00 μB/f.u.
Symmetry   Pm-3m, No. 221
Calculated volume   101.32 Å³/cell
ΔE_f   257 meV/atom

Geometry as POSCAR:
```
CaTi3Co
1.0
4.662 0.000 0.000
0.000 4.662 0.000
0.000 0.000 4.662
Ca Ti Co
1 3 1
Direct
0.000 0.000 0.000 Ca
0.000 0.500 0.500 Ti
0.500 0.000 0.500 Ti
0.500 0.500 0.000 Ti
0.500 0.500 0.500 Co
```

***

[5]
Density functional theory data (PBE-GGA) for crystalline Cs11Hg2Cl at its relaxed geometry.

Output
N(E_F)   0.946 states/eV per atom
Energy   -1.117 eV per atom
Total magnetization   0.00 μB/f.u.
Symmetry   Ibam, No. 72
Calculated volume   2684.26 Å³/cell

Geometry as POSCAR:
```
Cs11Hg2Cl
1.0
-7.097 9.408 10.051
7.097 -9.408 10.051
7.097 9.408 -10.051
Cs Hg Cl
22 4 2
Direct
0.000 0.000 0.000 Cs
0.079 0.212 0.624 Cs
0.088 0.712 0.133 Cs
0.101 0.459 0.300 Cs
0.159 0.801 0.700 Cs
0.229 0.115 0.344 Cs
0.271 0.615 0.886 Cs
0.341 0.041 0.642 Cs
0.399 0.699 0.358 Cs
0.412 0.545 0.624 Cs
0.421 0.045 0.133 Cs
0.500 0.500 0.000 Cs
0.579 0.955 0.867 Cs
0.588 0.455 0.376 Cs
0.601 0.301 0.642 Cs
0.659 0.959 0.358 Cs
0.729 0.385 0.114 Cs
0.771 0.885 0.656 Cs
0.841 0.199 0.300 Cs
0.899 0.541 0.700 Cs
0.912 0.288 0.867 Cs
0.921 0.788 0.376 Cs
0.157 0.833 0.990 Hg
0.343 0.333 0.677 Hg
0.657 0.667 0.323 Hg
0.843 0.167 0.010 Hg
0.250 0.750 0.500 Cl
0.750 0.250 0.500 Cl
```

***

[6]
Density functional theory data (PBE-GGA) for crystalline SrFeN3 at its relaxed geometry.

Output
N(E_F)   1.191 states/eV per atom
Energy   -6.597 eV per atom
Total magnetization   0.00 μB/f.u.
Symmetry   Pm-3m, No. 221
Calculated volume   54.90 Å³/cell

Geometry as POSCAR:
```
SrFeN3
1.0
3.801 0.000 0.000
0.000 3.801 0.000
0.000 0.000 3.801
Sr Fe N
1 1 3
Direct
0.000 0.000 0.000 Sr
0.500 0.500 0.500 Fe
0.000 0.500 0.500 N
0.500 0.000 0.500 N
0.500 0.500 0.000 N
```